Compound: LuPuC
Source: Alexandria via LeMat-Bulk
Functional: PBE-GGA
Structure: optimized geometry

a = 3.1069 Å, b = 3.1069 Å, c = 11.6612 Å
α = 90.00°, β = 90.00°, γ = 90.00°
Space group I4mm (No. 107)
Inequivalent atoms, fractional coordinates:
1 Lu 0.0000 0.0000 0.0000 (multiplicity 2)
2 Pu 0.0000 0.0000 0.2326 (multiplicity 2)
3 C 0.0000 0.0000 0.6176 (multiplicity 2)

Output
Calculated density ... 12.715 g/cm³
Energy above the most stable polymorph in this dataset ... 1.06 eV/f.u.
DFT total energy ... -9.1372 eV per atom